# NdHo2ScAs4

An optimized crystal structure of NdHo2ScAs4 (PBE, the Alexandria database).

## Properties
**Space group**: P2/m
**E_form**: -11.60 eV/f.u.

Unit cell a=7.0874 b=4.1019 c=7.0978 alpha=90.00 beta=109.47 gamma=90.00
Last column: nearest neighbours and their distance in Å.
Positions (direct):
Nd 0.0000 0.0000 0.0000  6 As 2.94
Ho 0.0000 0.5000 0.5000  6 As 2.95
Ho 0.5000 0.0000 0.5000  6 As 2.86
Sc 0.5000 0.5000 0.0000  6 As 2.85
As 0.2621 0.0000 0.7550  2 Sc 2.85, 3 Ho 2.86-2.95, 1 Nd 2.94
As 0.2615 0.5000 0.2529  1 Sc 2.85, 3 Ho 2.86-2.95, 2 Nd 2.94
As 0.7379 0.0000 0.2450  2 Sc 2.85, 3 Ho 2.86-2.95, 1 Nd 2.94
As 0.7385 0.5000 0.7471  1 Sc 2.85, 3 Ho 2.86-2.95, 2 Nd 2.94